Compound: BaBi2MoF
Source: Alexandria via LeMat-Bulk
Functional: GGA+U
Structure: optimized geometry

Lattice parameters (Å, degrees): 6.6541 6.6541 4.6461 90.00 90.00 90.00
Last column: magnetic moment on the atom in μB.
Atoms (fractional coordinates):
Mo 0.5000 0.5000 0.5000  4.13
F 0.0000 0.0000 0.5000  0.00
Bi 0.0000 0.5000 0.0000  -0.28
Bi 0.5000 0.0000 0.0000  -0.28
Ba 0.0000 0.0000 0.0000  -0.03

Computed properties:
Spin magnetization (μB/f.u.): 4.110
Total DFT energy (no corrections) (eV per cell): -18.61
Volume (Å³ per cell): 206